Record 1
VASP calculation (SCAN) on a crystal of AgHg2 relaxed with PBEsol. Values from VASP.

Quantum ESPRESSO input file:
```
&SYSTEM
  ibrav = 0, nat = 6, ntyp = 2
/
ATOMIC_SPECIES
Hg 200.59 Hg.upf
Ag 107.87 Ag.upf
ATOMIC_POSITIONS crystal
Hg 0.4229 0.4229 0.8458
Hg 0.5771 0.5771 0.1542
Hg 0.6729 0.1729 0.3458
Hg 0.8271 0.3271 0.6542
Ag 0.0000 0.0000 0.0000
Ag 0.2500 0.7500 0.5000
CELL_PARAMETERS angstrom
2.9984 0.0000 0.0000
0.0000 2.9984 0.0000
-1.4992 -1.4992 13.5593
```

Properties
DOS(E_F) (states/eV/cell): 1.92
E_form (kJ per mole of atoms): 6.3
SG: I4_1/amd (141)

***

Record 2
VASP calculation (SCAN) on a crystal of Y2ScHg relaxed with PBEsol. Values from VASP.

Quantum ESPRESSO input file:
```
&SYSTEM
  ibrav = 0, nat = 4, ntyp = 3
/
ATOMIC_SPECIES
Sc 44.96 Sc.upf
Hg 200.59 Hg.upf
Y 88.91 Y.upf
ATOMIC_POSITIONS crystal
Sc 0.5000 0.5000 0.5000
Hg 0.5000 0.5000 0.0000
Y 0.0000 0.0000 0.2348
Y 0.0000 0.0000 0.7652
CELL_PARAMETERS angstrom
-1.3012 3.2500 -0.4386
0.1361 -0.4179 -3.5007
-7.7364 -3.0883 0.0679
```

Properties
DOS(E_F) (states/eV/cell): 3.32
E_form (kJ per mole of atoms): -32.3
SG: P4/mmm (123)

***

Record 3
VASP calculation (SCAN) on a crystal of Mg3Hg relaxed with PBEsol. Values from VASP.

Quantum ESPRESSO input file:
```
&SYSTEM
  ibrav = 0, nat = 4, ntyp = 2
/
ATOMIC_SPECIES
Hg 200.59 Hg.upf
Mg 24.30 Mg.upf
ATOMIC_POSITIONS crystal
Hg 0.0000 0.0064 0.0000
Mg 0.7372 0.3863 0.4745
Mg 0.5000 0.5287 0.0000
Mg 0.2628 0.9119 0.5255
CELL_PARAMETERS angstrom
-1.8160 2.7388 0.0738
-2.1855 -1.3265 -4.5531
-1.5736 -3.1416 4.6649
```

Properties
DOS(E_F) (states/eV/cell): 1.40
E_form (kJ per mole of atoms): -19.1
SG: Imm2 (44)

***

Record 4
VASP calculation (SCAN) on a crystal of Mg2HgBr relaxed with PBEsol. Values from VASP.

Quantum ESPRESSO input file:
```
&SYSTEM
  ibrav = 0, nat = 4, ntyp = 3
/
ATOMIC_SPECIES
Mg 24.30 Mg.upf
Br 79.90 Br.upf
Hg 200.59 Hg.upf
ATOMIC_POSITIONS crystal
Mg 0.7500 0.7500 0.7500
Mg 0.2500 0.2500 0.2500
Br 0.0000 0.0000 0.0000
Hg 0.5000 0.5000 0.5000
CELL_PARAMETERS angstrom
-0.4023 2.1095 -4.6947
3.6366 -0.8966 -3.5530
-1.0594 -2.9746 -4.0843
```

Properties
Raw formation energy (eV/atom): -0.14
DOS(E_F) (states/eV/cell): 4.92
SG: Fm-3m (225)

***

Record 5
VASP calculation (SCAN) on a crystal of TmTlRh2 relaxed with PBEsol. Values from VASP.

Quantum ESPRESSO input file:
```
&SYSTEM
  ibrav = 0, nat = 4, ntyp = 3
/
ATOMIC_SPECIES
Tl 204.38 Tl.upf
Tm 168.93 Tm.upf
Rh 102.91 Rh.upf
ATOMIC_POSITIONS crystal
Tl 0.5000 0.5000 0.5000
Tm 0.0000 0.0000 0.0000
Rh 0.2500 0.2500 0.2500
Rh 0.7500 0.7500 0.7500
CELL_PARAMETERS angstrom
4.6180 0.0000 0.0000
2.3090 3.9993 0.0000
2.3090 1.3331 3.7706
```

Properties
DOS(E_F) (states/eV/cell): 0.72
E_form (kJ per mole of atoms): -63.5
SG: Fm-3m (225)

***

Record 6
VASP calculation (SCAN) on a crystal of TaAlCd2 relaxed with PBEsol. Values from VASP.

Quantum ESPRESSO input file:
```
&SYSTEM
  ibrav = 0, nat = 4, ntyp = 3
/
ATOMIC_SPECIES
Cd 112.41 Cd.upf
Al 26.98 Al.upf
Ta 180.95 Ta.upf
ATOMIC_POSITIONS crystal
Cd 0.7502 0.2502 0.5004
Cd 0.9931 0.9931 0.9861
Al 0.2449 0.7449 0.4899
Ta 0.5118 0.5118 0.0235
CELL_PARAMETERS angstrom
-0.9534 -2.3180 -1.4274
-2.4722 -1.6187 4.2798
-2.3263 4.4812 -2.8090
```

Properties
DOS(E_F) (states/eV/cell): 1.99
E_form (kJ per mole of atoms): 25.6
SG: Imm2 (44)

***

Record 7
VASP calculation (SCAN) on a crystal of ZrSiMo2 relaxed with PBEsol. Values from VASP.

Quantum ESPRESSO input file:
```
&SYSTEM
  ibrav = 0, nat = 4, ntyp = 3
/
ATOMIC_SPECIES
Zr 91.22 Zr.upf
Mo 95.94 Mo.upf
Si 28.09 Si.upf
ATOMIC_POSITIONS crystal
Zr 0.0000 0.5000 0.0000
Mo 0.7474 0.7474 0.4948
Mo 0.2526 0.2526 0.5052
Si 0.5000 0.0000 0.0000
CELL_PARAMETERS angstrom
3.3202 0.0000 0.0000
0.0000 4.3388 0.0000
-1.6601 -2.1694 4.4523
```

Properties
Raw formation energy (eV/atom): -0.09
DOS(E_F) (states/eV/cell): 2.40
SG: Immm (71)

***

Record 8
VASP calculation (SCAN) on a crystal of LaRuRh2 relaxed with PBEsol. Values from VASP.

Quantum ESPRESSO input file:
```
&SYSTEM
  ibrav = 0, nat = 4, ntyp = 3
/
ATOMIC_SPECIES
Rh 102.91 Rh.upf
La 138.91 La.upf
Ru 101.07 Ru.upf
ATOMIC_POSITIONS crystal
Rh 0.7500 0.7500 0.7500
Rh 0.0000 0.0000 0.0000
La 0.5000 0.5000 0.5000
Ru 0.2500 0.2500 0.2500
CELL_PARAMETERS angstrom
-4.1442 1.4677 -1.2896
-1.5310 -0.8855 -4.2265
-3.4032 -3.0040 -0.6212
```

Properties
DOS(E_F) (states/eV/cell): 3.74
E_form (kJ per mole of atoms): 7.5
SG: F-43m (216)

***

Record 9
VASP calculation (SCAN) on a crystal of Zr5Hg4 relaxed with PBEsol. Values from VASP.

Quantum ESPRESSO input file:
```
&SYSTEM
  ibrav = 0, nat = 18, ntyp = 2
/
ATOMIC_SPECIES
Hg 200.59 Hg.upf
Zr 91.22 Zr.upf
ATOMIC_POSITIONS crystal
Hg 0.2500 0.3627 0.3627
Hg 0.7500 0.0000 0.3627
Hg 0.7500 0.6373 0.6373
Hg 0.2500 0.6373 0.0000
Hg 0.2500 0.0000 0.6373
Hg 0.5000 0.0000 0.0000
Hg 0.7500 0.3627 0.0000
Hg 0.0000 0.0000 0.0000
Zr 0.7500 0.6933 0.0000
Zr 0.7500 0.0000 0.6933
Zr 0.7500 0.3067 0.3067
Zr 0.2500 0.0000 0.3067
Zr 0.5000 0.3333 0.6667
Zr 0.2500 0.6933 0.6933
Zr 0.0000 0.3333 0.6667
Zr 0.2500 0.3067 0.0000
Zr 0.5000 0.6667 0.3333
Zr 0.0000 0.6667 0.3333
CELL_PARAMETERS angstrom
-3.3860 3.9553 2.6564
0.3199 -4.6256 7.2951
5.9356 6.0985 -1.5145
```

Properties
DOS(E_F) (states/eV/cell): 13.32
E_form (kJ per mole of atoms): -33.2
SG: P6_3/mcm (193)

***

Record 10
VASP calculation (SCAN) on a crystal of IrPdPt2 relaxed with PBEsol. Values from VASP.

Quantum ESPRESSO input file:
```
&SYSTEM
  ibrav = 0, nat = 4, ntyp = 3
/
ATOMIC_SPECIES
Pt 195.08 Pt.upf
Ir 192.22 Ir.upf
Pd 106.42 Pd.upf
ATOMIC_POSITIONS crystal
Pt 0.7500 0.7500 0.7500
Pt 0.2500 0.2500 0.2500
Ir 0.5000 0.5000 0.5000
Pd 0.0000 0.0000 0.0000
CELL_PARAMETERS angstrom
-0.8188 2.5398 -3.4701
2.0674 -0.7361 -3.7877
-2.2059 -1.6118 -3.4204
```

Properties
DOS(E_F) (states/eV/cell): 4.70
E_form (kJ per mole of atoms): 24.1
SG: Fm-3m (225)

***

Record 11
VASP calculation (SCAN) on a crystal of Ca2ReSe relaxed with PBEsol. Values from VASP.

Quantum ESPRESSO input file:
```
&SYSTEM
  ibrav = 0, nat = 4, ntyp = 3
/
ATOMIC_SPECIES
Ca 40.08 Ca.upf
Se 78.96 Se.upf
Re 186.21 Re.upf
ATOMIC_POSITIONS crystal
Ca 0.0000 0.5000 0.0000
Ca 0.0000 0.0000 0.5000
Se 0.5000 0.5000 0.5000
Re 0.5000 0.0000 0.0000
CELL_PARAMETERS angstrom
3.0654 0.0000 0.0000
0.0000 5.2658 -0.0888
0.0000 -1.1740 5.1340
```

Properties
Raw formation energy (eV/atom): 0.09
DOS(E_F) (states/eV/cell): 3.30
SG: Cmmm (65)

***

Record 12
VASP calculation (SCAN) on a crystal of PaBr3O relaxed with PBEsol. Values from VASP.

Quantum ESPRESSO input file:
```
&SYSTEM
  ibrav = 0, nat = 10, ntyp = 3
/
ATOMIC_SPECIES
Br 79.90 Br.upf
Pa 231.04 Pa.upf
O 16.00 O.upf
ATOMIC_POSITIONS crystal
Br 0.3717 0.7434 0.9288
Br 0.6572 0.3145 0.6996
Br 0.0422 0.0843 0.3071
Br 0.9578 0.9157 0.6929
Br 0.3428 0.6855 0.3004
Br 0.6283 0.2566 0.0712
Pa 0.8037 0.6074 0.6827
Pa 0.1963 0.3926 0.3173
O 0.7212 0.4424 0.4181
O 0.2788 0.5576 0.5819
CELL_PARAMETERS angstrom
-2.4723 3.1149 -0.2167
-0.8269 -3.7663 -8.1068
-5.3566 -3.7301 7.4969
```

Properties
Raw formation energy (eV/atom): -2.21
DOS(E_F) (states/eV/cell): 0.00
SG: C2/m (12)

***

Record 13
VASP calculation (SCAN) on a crystal of MnAl2Fe relaxed with PBEsol. Values from VASP.

Quantum ESPRESSO input file:
```
&SYSTEM
  ibrav = 0, nat = 4, ntyp = 3
/
ATOMIC_SPECIES
Mn 54.94 Mn.upf
Al 26.98 Al.upf
Fe 55.84 Fe.upf
ATOMIC_POSITIONS crystal
Mn 0.5000 0.5000 0.5000
Al 0.0000 0.0000 0.2320
Al 0.0000 0.0000 0.7680
Fe 0.5000 0.5000 0.0000
CELL_PARAMETERS angstrom
-2.7532 0.3318 0.6645
0.6442 -0.2041 2.7710
0.7650 5.8412 0.2524
```

Properties
DOS(E_F) (states/eV/cell): 2.08
E_form (kJ per mole of atoms): -37.3
SG: P4/mmm (123)